A geometry-optimized HfTlIr2I structure, computed with GGA-PBE.

Values from the calculation:
- Crystal system: tetragonal
- Mass density: 11.25 g/cm³
- Size of the total moment: 0.0 μB/cell
- Space-group type: No. 123
- V: 132 Å³/cell

Cell: 4.8542 5.6009 4.8542 Å, 90.00 90.00 90.00°
Last column: nearest neighbours and their distance in Å.
Sites, in units of the cell vectors:
I (0.0000, 0.0000, 0.0000)  4 Ir 2.43
Ir (0.0000, 0.0000, 0.5000)  2 I 2.43
Hf (0.5000, 0.5000, 0.5000)  4 Tl 3.43, 8 Ir 3.71
Ir (0.5000, 0.0000, 0.0000)  2 I 2.43
Tl (0.0000, 0.5000, 0.0000)  2 I 2.80


A geometry-optimized HfIrW2I structure, computed with GGA-PBE.

Values from the calculation:
- Crystal system: tetragonal
- Mass density: 12.79 g/cm³
- Size of the total moment: 0.0 μB/cell
- Space-group type: No. 123
- V: 112 Å³/cell

Cell: 4.8566 4.7636 4.8566 Å, 90.00 90.00 90.00°
Last column: nearest neighbours and their distance in Å.
Sites, in units of the cell vectors:
I (0.0000, 0.0000, 0.0000)  2 Ir 2.38, 4 W 2.43
W (0.5000, 0.0000, 0.0000)  2 I 2.43
W (0.0000, 0.0000, 0.5000)  2 I 2.43
Ir (0.0000, 0.5000, 0.0000)  2 I 2.38
Hf (0.5000, 0.5000, 0.5000)  8 W 3.40, 4 Ir 3.43


A geometry-optimized Y2HfIrI structure, computed with GGA-PBE.

Values from the calculation:
- Crystal system: tetragonal
- Mass density: 7.32 g/cm³
- Size of the total moment: 1.8 μB/cell
- Space-group type: No. 123
- V: 153 Å³/cell
- Polymorph energy (0 for the lowest one): 6.4 meV per atom

Cell: 5.3414 5.3667 5.3414 Å, 90.00 90.00 90.00°
Last column: nearest neighbours and their distance in Å.
Sites, in units of the cell vectors:
I (0.0000, 0.5000, 0.0000)  2 Ir 2.68
Y (0.5000, 0.0000, 0.0000)  2 Ir 2.67
Y (0.0000, 0.0000, 0.5000)  2 Ir 2.67
Ir (0.0000, 0.0000, 0.0000)  4 Y 2.67, 2 I 2.68
Hf (0.5000, 0.5000, 0.5000)  4 I 3.78, 8 Y 3.79


A geometry-optimized Y2HfIrI structure, computed with GGA-PBE.

Values from the calculation:
- Crystal system: tetragonal
- Mass density: 7.00 g/cm³
- Size of the total moment: 0.0 μB/cell
- Space-group type: No. 123
- V: 160 Å³/cell
- Polymorph energy (0 for the lowest one): 0.0 meV per atom

Cell: 5.8138 4.7419 5.8138 Å, 90.00 90.00 90.00°
Last column: nearest neighbours and their distance in Å.
Sites, in units of the cell vectors:
I (0.5000, 0.5000, 0.5000)  8 Y 3.75, 4 Ir 4.11
Y (0.0000, 0.0000, 0.5000)  2 Hf 2.91
Hf (0.0000, 0.0000, 0.0000)  2 Ir 2.37
Ir (0.0000, 0.5000, 0.0000)  2 Hf 2.37
Y (0.5000, 0.0000, 0.0000)  2 Hf 2.91


A geometry-optimized KHf3I structure, computed with GGA-PBE.

Values from the calculation:
- Crystal system: cubic
- Mass density: 8.58 g/cm³
- Size of the total moment: 0.0 μB/cell
- Space-group type: No. 221
- V: 136 Å³/cell
- Polymorph energy (0 for the lowest one): 969.4 meV per atom

Cell: 5.1397 5.1397 5.1397 Å, 90.00 90.00 90.00°
Last column: nearest neighbours and their distance in Å.
Sites, in units of the cell vectors:
I (0.5000, 0.5000, 0.5000)  12 Hf 3.63
K (0.0000, 0.0000, 0.0000)  6 Hf 2.57
Hf (0.0000, 0.5000, 0.0000)  2 K 2.57
Hf (0.0000, 0.0000, 0.5000)  2 K 2.57
Hf (0.5000, 0.0000, 0.0000)  2 K 2.57


A geometry-optimized KHfI2 structure, computed with GGA-PBE.

Values from the calculation:
- Crystal system: cubic
- Mass density: 6.68 g/cm³
- Size of the total moment: 1.2 μB/cell
- Space-group type: No. 225
- V: 117 Å³/cell
- Polymorph energy (0 for the lowest one): 81.1 meV per atom

Cell: 5.4937 5.4937 5.4937 Å, 60.00 60.00 60.00°
Last column: nearest neighbours and their distance in Å.
Sites, in units of the cell vectors:
Hf (0.5000, 0.5000, 0.5000)  8 I 3.36
I (0.2500, 0.2500, 0.2500)  4 Hf 3.36, 4 K 3.36
I (0.7500, 0.7500, 0.7500)  4 Hf 3.36, 4 K 3.36
K (0.0000, 0.0000, 0.0000)  8 I 3.36


Number 1: formation energy (no corrections) 1.74 eV/atom. Number 2: formation energy (no corrections) 2.17 eV/atom. Number 3: formation energy (no corrections) 0.48 eV/atom. Number 4: formation energy (no corrections) 0.47 eV/atom. Number 5: formation energy (no corrections) 2.25 eV/atom. Number 6: formation energy (no corrections) 0.03 eV/atom.